Record 1
A relaxed structure of V6FeCo5, computed with PBE-GGA.

POSCAR file:
```
V6FeCo5
1.0
-2.041 2.895 6.125
2.041 -2.895 6.125
2.041 2.895 -6.125
V Fe Co
6 1 5
Direct
0.083 0.334 0.749
0.248 0.000 0.248
0.415 0.666 0.749
0.585 0.334 0.251
0.752 0.000 0.752
0.917 0.666 0.251
0.000 0.500 0.500
0.168 0.168 0.000
0.334 0.834 0.500
0.500 0.500 0.000
0.666 0.166 0.500
0.832 0.832 0.000
```

Summary:
As for the formation enthalpy at 0 K: -0.075 eV/atom. The calculation puts the density of states at the Fermi level at 11.8 states/eV/f.u. As for the space group: Immm, No. 71. The size of the total moment is 10.07 μB/cell.

***

Record 2
A relaxed structure of LiZr4As, computed with PBE-GGA.

POSCAR file:
```
LiZr4As
1.0
0.000 4.071 4.071
4.071 0.000 4.071
4.071 4.071 0.000
Li Zr As
1 4 1
Direct
0.000 0.000 0.000
0.123 0.626 0.626
0.626 0.123 0.626
0.626 0.626 0.123
0.626 0.626 0.626
0.250 0.250 0.250
```

Summary:
As for the formation enthalpy at 0 K: 0.402 eV/atom. The calculation puts the density of states at the Fermi level at 6.6 states/eV/f.u. As for the space group: F-43m, No. 216. The size of the total moment is 0.00 μB/cell.

***

Record 3
A relaxed structure of CaZrAg2Pt, computed with PBE-GGA.

POSCAR file:
```
CaZrAg2Pt
1.0
5.240 0.000 0.000
0.000 5.240 0.000
0.000 0.000 4.900
Ca Zr Ag Pt
1 1 2 1
Direct
0.000 0.000 0.000
0.500 0.500 0.000
0.000 0.500 0.500
0.500 0.000 0.500
0.500 0.500 0.500
```

Summary:
As for the formation enthalpy at 0 K: 0.145 eV/atom. The calculation puts the density of states at the Fermi level at 4.8 states/eV/f.u. As for the space group: P4/mmm, No. 123. The size of the total moment is 0.88 μB/cell.

***

Record 4
A relaxed structure of K2FeTe, computed with PBE-GGA.

POSCAR file:
```
K2FeTe
1.0
0.000 3.972 3.972
3.972 0.000 3.972
3.972 3.972 0.000
K Fe Te
2 1 1
Direct
0.000 0.000 0.000
0.250 0.250 0.250
0.500 0.500 0.500
0.750 0.750 0.750
```

Summary:
For the uncorrected formation energy, the calculation gives 0.3085 eV per atom. The calculation puts the density of states at the Fermi level at 4.0 states/eV/f.u. As for the space group: F-43m, No. 216. The size of the total moment is 3.49 μB/cell.